DFT (PBE) results for a relaxed Zn2TcAs crystal.

```
Zn2TcAs
1.0
4.700 -0.006 0.010
3.565 3.063 0.010
1.518 0.562 4.244
Zn Tc As
2 1 1
Direct
0.000 0.000 0.955
0.751 0.751 0.805
0.236 0.236 0.333
0.513 0.513 0.407
```

formation energy: -0.008 eV/atom
final energy: -17.59 eV/cell
V: 61.1 Å³/cell